A relaxed structure of LaCdNi2, computed with PBE.

a b c (Å): 4.7349 4.7349 3.3268
angles (deg): 90.02 90.02 90.01
Element x y z (fractional)
1 Cd 0.5000 0.0000 0.5000
2 La 0.0000 0.5000 0.5000
3 Ni 0.0000 0.0000 0.0000
4 Ni 0.5000 0.5000 0.0000

Energy relative to the elements, eV/atom: -0.066
Symmetry: No. 123
VASP energy, eV for the cell shown: -17.7

A relaxed structure of LaCd2Ni9, computed with PBE.

a b c (Å): 4.9526 4.9526 15.8791
angles (deg): 90.00 90.00 120.00
Element x y z (fractional)
1 La 0.3333 0.6667 0.7500
2 La 0.6667 0.3333 0.2500
3 Cd 0.3333 0.6667 0.5335
4 Cd 0.6667 0.3333 0.0335
5 Cd 0.6667 0.3333 0.4665
6 Cd 0.3333 0.6667 0.9665
7 Ni 0.0000 0.0000 0.0000
8 Ni 0.0000 0.0000 0.5000
9 Ni 0.0000 0.0000 0.2500
10 Ni 0.0000 0.0000 0.7500
11 Ni 0.3333 0.6667 0.2500
12 Ni 0.6667 0.3333 0.7500
13 Ni 0.1673 0.3346 0.1236
14 Ni 0.6654 0.8327 0.1236
15 Ni 0.1673 0.8327 0.1236
16 Ni 0.8327 0.6654 0.6236
17 Ni 0.3346 0.1673 0.6236
18 Ni 0.8327 0.1673 0.6236
19 Ni 0.3346 0.1673 0.8764
20 Ni 0.8327 0.6654 0.8764
21 Ni 0.8327 0.1673 0.8764
22 Ni 0.6654 0.8327 0.3764
23 Ni 0.1673 0.3346 0.3764
24 Ni 0.1673 0.8327 0.3764

Energy relative to the elements, eV/atom: -0.138
Symmetry: No. 194
VASP energy, eV for the cell shown: -120.9

A relaxed structure of LaCdNi2, computed with PBE.

a b c (Å): 5.5686 5.5686 5.5686
angles (deg): 138.09 138.09 60.76
Element x y z (fractional)
1 Cd 0.5000 0.5000 0.0000
2 La 0.7500 0.2500 0.5000
3 Ni 0.0000 0.0000 0.0000
4 Ni 0.2500 0.7500 0.5000

Energy relative to the elements, eV/atom: -0.021
Symmetry: No. 119
VASP energy, eV for the cell shown: -17.5

A relaxed structure of La5CdNi2, computed with PBE.

a b c (Å): 8.1259 8.1259 8.9569
angles (deg): 116.98 116.98 90.00
Element x y z (fractional)
1 La 0.5227 0.7061 0.7287
2 La 0.7939 0.9773 0.2713
3 La 0.0000 0.0000 0.0000
4 La 0.5000 0.5000 0.0000
5 La 0.2061 0.0227 0.7287
6 La 0.7061 0.2061 0.7287
7 La 0.0227 0.5227 0.7287
8 La 0.2939 0.7939 0.2713
9 La 0.9773 0.4773 0.2713
10 La 0.4773 0.2939 0.2713
11 Cd 0.7500 0.7500 0.5000
12 Cd 0.2500 0.2500 0.5000
13 Ni 0.1206 0.3794 0.0000
14 Ni 0.6206 0.1207 0.0000
15 Ni 0.3793 0.8794 0.0000
16 Ni 0.8793 0.6207 0.0000

Energy relative to the elements, eV/atom: -0.240
Symmetry: No. 140
VASP energy, eV for the cell shown: -78.1

A relaxed structure of La4CdNi, computed with PBE.

a b c (Å): 6.3009 8.5424 8.4269
angles (deg): 113.42 103.03 107.02
Element x y z (fractional)
1 La 0.0391 0.1885 0.8541
2 La 0.7730 0.6961 0.6222
3 La 0.3150 0.6656 0.8541
4 La 0.3493 0.9261 0.6222
5 La 0.6507 0.0739 0.3778
6 La 0.6850 0.3344 0.1459
7 La 0.2270 0.3039 0.3778
8 La 0.9609 0.8115 0.1459
9 Cd 0.3655 0.6155 0.2311
10 Cd 0.6345 0.3845 0.7689
11 Ni 0.2486 0.9986 0.9972
12 Ni 0.7514 0.0014 0.0028

Energy relative to the elements, eV/atom: -0.183
Symmetry: No. 15
VASP energy, eV for the cell shown: -55.0

A relaxed structure of LaCdNi2, computed with PBE.

a b c (Å): 3.6009 3.9771 5.4631
angles (deg): 90.00 90.00 90.00
Element x y z (fractional)
1 Cd 0.0000 0.0000 0.4378
2 La 0.5000 0.5000 0.8099
3 Ni 0.0000 0.0000 0.9712
4 Ni 0.5000 0.5000 0.2811

Energy relative to the elements, eV/atom: -0.001
Symmetry: No. 25
VASP energy, eV for the cell shown: -17.4

A relaxed structure of LaCdNi, computed with PBE.

a b c (Å): 4.9667 4.9667 4.9667
angles (deg): 60.00 60.00 60.00
Element x y z (fractional)
1 Cd 0.5000 0.5000 0.5000
2 La 0.2500 0.2500 0.2500
3 Ni 0.0000 0.0000 0.0000

Energy relative to the elements, eV/atom: 0.380
Symmetry: No. 216
VASP energy, eV for the cell shown: -10.5

A relaxed structure of LaCdNi, computed with PBE.

a b c (Å): 6.2563 6.2570 3.4027
angles (deg): 74.21 74.20 31.56
Element x y z (fractional)
1 Cd 0.0316 0.0316 0.9684
2 La 0.3106 0.3106 0.6894
3 Ni 0.6578 0.6578 0.3422

Energy relative to the elements, eV/atom: -0.162
Symmetry: No. 107
VASP energy, eV for the cell shown: -12.1

Repeat the fourth record exactly.
A relaxed structure of La5CdNi2, computed with PBE.

a b c (Å): 8.1259 8.1259 8.9569
angles (deg): 116.98 116.98 90.00
Element x y z (fractional)
1 La 0.5227 0.7061 0.7287
2 La 0.7939 0.9773 0.2713
3 La 0.0000 0.0000 0.0000
4 La 0.5000 0.5000 0.0000
5 La 0.2061 0.0227 0.7287
6 La 0.7061 0.2061 0.7287
7 La 0.0227 0.5227 0.7287
8 La 0.2939 0.7939 0.2713
9 La 0.9773 0.4773 0.2713
10 La 0.4773 0.2939 0.2713
11 Cd 0.7500 0.7500 0.5000
12 Cd 0.2500 0.2500 0.5000
13 Ni 0.1206 0.3794 0.0000
14 Ni 0.6206 0.1207 0.0000
15 Ni 0.3793 0.8794 0.0000
16 Ni 0.8793 0.6207 0.0000

Energy relative to the elements, eV/atom: -0.240
Symmetry: No. 140
VASP energy, eV for the cell shown: -78.1